[1]
TaCoBr2 after structural relaxation. Source: Alexandria, functional PBE.

Values from the calculation:
density of states at the Fermi level	0.016	states/eV per atom

abc: 4.302 3.304 7.412
angles: 90.00 104.93 90.00
Element x y z (fractional)
Ta 0.000 0.000 0.000
Co 0.621 0.500 0.034
Br 0.184 0.500 0.756
Br 0.489 0.000 0.269



[2]
CeMnAlC after structural relaxation. Source: Alexandria, functional PBE.

Values from the calculation:
density of states at the Fermi level	0.869	states/eV per atom
DFT formation energy	0.02	eV/atom

abc: 2.968 5.166 5.166
angles: 49.05 90.00 90.00
Element x y z (fractional)
Ce 0.000 0.000 0.000
Mn 0.000 0.315 0.315
Al 0.500 0.690 0.690
C 0.500 0.465 0.465



[3]
K2BaP2S6 after structural relaxation. Source: Alexandria, functional PBE.

Values from the calculation:
density of states at the Fermi level	0.000	states/eV per atom

abc: 8.967 8.967 8.967
angles: 46.29 46.29 46.29
Element x y z (fractional)
K 0.208 0.208 0.208
K 0.792 0.792 0.792
Ba 0.000 0.000 0.000
P 0.452 0.452 0.452
P 0.548 0.548 0.548
S 0.247 0.730 0.730
S 0.270 0.270 0.753
S 0.270 0.753 0.270
S 0.730 0.247 0.730
S 0.730 0.730 0.247
S 0.753 0.270 0.270



Total magnetization: 0.0, 1.8, 0.0 (μB/cell)
Final energy: -5.615, -6.996, -4.571 (eV per atom)